(1)
{
  "formula": "LaYErZn",
  "functional": "PBE",
  "state": "optimized geometry",
  "lattice": [[3.589, 0.000, 0.000], [0.000, 3.589, 0.000], [0.000, 0.000, 8.873]],
  "species": ["Zn", "Y", "Er", "La"],
  "fractional_positions": [[0.000, 0.000, 0.567], [0.500, 0.500, 0.768], [0.500, 0.500, 0.375], [0.000, 0.000, 0.075]],
  "spacegroup": "P4mm (99)",
  "polymorph_energy_mev_per_atom": 0,
  "formation_energy_ev_per_fu": -0.65
}

---

(2)
{
  "formula": "LaYErZr",
  "functional": "PBE",
  "state": "optimized geometry",
  "lattice": [[-4.698, -1.396, 2.596], [0.186, -3.099, 4.596], [-1.227, 2.254, 4.917]],
  "species": ["La", "Er", "Y", "Zr"],
  "fractional_positions": [[0.000, 0.000, 0.000], [0.250, 0.250, 0.250], [0.750, 0.750, 0.750], [0.500, 0.500, 0.500]],
  "spacegroup": "F-43m (216)",
  "formation_energy_ev_per_fu": 0.85
}

---

(3)
{
  "formula": "La6ErZn",
  "functional": "PBE",
  "state": "optimized geometry",
  "lattice": [[6.660, 0.012, -0.045], [3.326, 5.825, 0.010], [3.270, 1.963, 7.790]],
  "species": ["La", "La", "La", "La", "Zn", "Er", "La", "La"],
  "fractional_positions": [[0.429, 0.793, 0.741], [0.571, 0.207, 0.259], [0.792, 0.028, 0.740], [0.966, 0.570, 0.263], [0.000, 0.000, 0.000], [0.500, 0.500, 0.500], [0.034, 0.430, 0.737], [0.208, 0.972, 0.260]],
  "spacegroup": "P-1 (2)",
  "formation_energy_ev_per_fu": 2.49
}

---

(4)
{
  "formula": "LaErZn2",
  "functional": "PBE",
  "state": "optimized geometry",
  "lattice": [[-3.167, 1.390, 1.005], [-1.087, -3.259, 1.080], [2.752, 1.342, 6.819]],
  "species": ["Zn", "Zn", "Er", "La"],
  "fractional_positions": [[0.000, 0.000, 0.220], [0.000, 0.000, 0.780], [0.500, 0.500, 0.000], [0.500, 0.500, 0.500]],
  "spacegroup": "P4/mmm (123)",
  "formation_energy_ev_per_fu": -1.29
}

---

(5)
{
  "formula": "La6ErZn2",
  "functional": "PBE",
  "state": "optimized geometry",
  "lattice": [[3.735, 0.000, 0.593], [1.643, 6.348, 1.712], [0.023, -0.123, 11.911]],
  "species": ["Zn", "Er", "La", "La", "La", "La", "La", "La", "Zn"],
  "fractional_positions": [[0.360, 0.093, 0.186], [0.000, 0.000, 0.000], [0.313, 0.498, 0.876], [0.687, 0.502, 0.124], [0.970, 0.733, 0.326], [0.030, 0.267, 0.674], [0.692, 0.213, 0.403], [0.308, 0.787, 0.597], [0.640, 0.907, 0.814]],
  "spacegroup": "C2/m (12)",
  "formation_energy_ev_per_fu": -1.23
}

---

(6)
{
  "formula": "La2ErZn3",
  "functional": "PBE",
  "state": "optimized geometry",
  "lattice": [[3.659, 0.000, 0.000], [0.000, 3.659, 0.000], [0.000, 0.000, 11.210]],
  "species": ["Er", "Zn", "La", "Zn", "La", "Zn"],
  "fractional_positions": [[0.500, 0.500, 0.500], [0.000, 0.000, 0.000], [0.500, 0.500, 0.826], [0.000, 0.000, 0.355], [0.500, 0.500, 0.174], [0.000, 0.000, 0.645]],
  "spacegroup": "P4/mmm (123)",
  "formation_energy_ev_per_fu": -1.87
}

---

(7)
{
  "formula": "LaEr3Zn4",
  "functional": "PBE",
  "state": "optimized geometry",
  "lattice": [[-1.970, 3.630, -2.924], [-6.582, -1.402, 2.693], [1.566, 6.774, 7.354]],
  "species": ["Er", "Zn", "Er", "Er", "Zn", "Zn", "Er", "Er", "Zn", "Zn", "La", "La", "Zn", "Zn", "Zn", "Er"],
  "fractional_positions": [[0.500, 0.500, 0.250], [0.500, 0.234, 0.500], [0.500, 0.500, 0.750], [0.000, 0.000, 0.000], [0.500, 0.766, 0.000], [0.000, 0.234, 0.750], [0.000, 0.000, 0.500], [0.500, 0.000, 0.250], [0.000, 0.766, 0.750], [0.000, 0.234, 0.250], [0.000, 0.500, 0.000], [0.000, 0.500, 0.500], [0.500, 0.766, 0.500], [0.000, 0.766, 0.250], [0.500, 0.234, 0.000], [0.500, 0.000, 0.750]],
  "spacegroup": "P4/mmm (123)",
  "formation_energy_ev_per_fu": -2.58
}

---

(8)
{
  "formula": "LaEr3Zn2",
  "functional": "PBE",
  "state": "optimized geometry",
  "lattice": [[3.555, 0.000, 0.000], [0.000, 3.555, 0.000], [0.000, 0.000, 12.377]],
  "species": ["Er", "Zn", "Er", "Er", "La", "Zn"],
  "fractional_positions": [[0.000, 0.000, 0.718], [0.500, 0.500, 0.859], [0.000, 0.000, 0.282], [0.000, 0.000, 0.000], [0.500, 0.500, 0.500], [0.500, 0.500, 0.141]],
  "spacegroup": "P4/mmm (123)",
  "formation_energy_ev_per_fu": -1.36
}

---

(9)
{
  "formula": "LaEr2Zn4",
  "functional": "PBE",
  "state": "optimized geometry",
  "lattice": [[-0.361, 5.047, 0.011], [-5.038, -0.360, -0.305], [-0.412, -0.045, 6.847]],
  "species": ["Er", "Zn", "Zn", "Zn", "Zn", "La", "Er"],
  "fractional_positions": [[0.500, 0.500, 0.500], [0.500, 0.000, 0.718], [0.000, 0.500, 0.282], [0.500, 0.000, 0.282], [0.000, 0.500, 0.718], [0.500, 0.500, 0.000], [0.000, 0.000, 0.000]],
  "spacegroup": "P4/mmm (123)",
  "formation_energy_ev_per_fu": -0.48
}

---

(10)
{
  "formula": "La2ErZn",
  "functional": "PBE",
  "state": "optimized geometry",
  "lattice": [[-2.378, -4.083, 2.851], [2.253, -5.038, 0.005], [2.409, -1.941, 4.570]],
  "species": ["Zn", "La", "Er", "La"],
  "fractional_positions": [[0.500, 0.500, 0.500], [0.750, 0.750, 0.750], [0.000, 0.000, 0.000], [0.250, 0.250, 0.250]],
  "spacegroup": "Fm-3m (225)",
  "polymorph_energy_mev_per_atom": 152,
  "formation_energy_ev_per_fu": -0.01
}

---

(11)
{
  "formula": "LaErZn",
  "functional": "PBE",
  "state": "optimized geometry",
  "lattice": [[-1.818, -1.568, 4.448], [3.606, -2.660, -2.343], [2.906, 4.133, -0.235]],
  "species": ["Zn", "Er", "La"],
  "fractional_positions": [[0.444, 0.222, 0.667], [0.944, 0.972, 0.917], [0.944, 0.472, 0.417]],
  "spacegroup": "F222 (22)",
  "polymorph_energy_mev_per_atom": 217,
  "formation_energy_ev_per_fu": 0.06
}

---

(12)
{
  "formula": "La2ErZn",
  "functional": "PBE",
  "state": "optimized geometry",
  "lattice": [[3.510, 0.000, 0.000], [1.755, 3.040, 0.000], [1.755, 1.013, 11.657]],
  "species": ["Zn", "Er", "La", "La"],
  "fractional_positions": [[0.500, 0.500, 0.500], [0.000, 0.000, 0.000], [0.097, 0.097, 0.708], [0.903, 0.903, 0.292]],
  "spacegroup": "R-3m (166)",
  "polymorph_energy_mev_per_atom": 301,
  "formation_energy_ev_per_fu": 0.58
}

---

(13)
{
  "formula": "La2ErZn9",
  "functional": "PBE",
  "state": "optimized geometry",
  "lattice": [[5.507, 0.000, 0.000], [2.754, 4.769, 0.000], [2.754, 1.590, 8.830]],
  "species": ["La", "Zn", "Zn", "Zn", "Zn", "Er", "Zn", "Zn", "Zn", "La", "Zn", "Zn"],
  "fractional_positions": [[0.142, 0.142, 0.573], [0.335, 0.335, 0.996], [0.420, 0.924, 0.236], [0.420, 0.420, 0.236], [0.500, 0.500, 0.500], [0.000, 0.000, 0.000], [0.924, 0.420, 0.236], [0.580, 0.076, 0.764], [0.580, 0.580, 0.764], [0.858, 0.858, 0.427], [0.076, 0.580, 0.764], [0.665, 0.665, 0.004]],
  "spacegroup": "R-3m (166)",
  "formation_energy_ev_per_fu": -3.31
}

---

(14)
{
  "formula": "LaEr2Zn",
  "functional": "PBE",
  "state": "optimized geometry",
  "lattice": [[3.571, 0.000, 0.000], [0.000, 3.571, 0.000], [0.000, 0.000, 8.826]],
  "species": ["Er", "Er", "La", "Zn"],
  "fractional_positions": [[0.000, 0.000, 0.804], [0.000, 0.000, 0.196], [0.500, 0.500, 0.500], [0.500, 0.500, 0.000]],
  "spacegroup": "P4/mmm (123)",
  "polymorph_energy_mev_per_atom": 0,
  "formation_energy_ev_per_fu": -0.63
}

---

(15)
{
  "formula": "LaErZn",
  "functional": "PBE",
  "state": "optimized geometry",
  "lattice": [[-2.856, 1.904, 1.262], [0.924, -0.885, 3.426], [4.526, 4.593, -1.986]],
  "species": ["La", "Zn", "Er"],
  "fractional_positions": [[0.016, 0.016, 0.033], [0.680, 0.680, 0.360], [0.304, 0.304, 0.608]],
  "spacegroup": "I4mm (107)",
  "polymorph_energy_mev_per_atom": 0,
  "formation_energy_ev_per_fu": -0.59
}

---

(16)
{
  "formula": "LaEr2Zn6",
  "functional": "PBE",
  "state": "optimized geometry",
  "lattice": [[-2.900, 1.199, 1.587], [-1.150, -7.055, 3.228], [4.283, 5.384, 3.765]],
  "species": ["Zn", "Zn", "Er", "Er", "La", "Zn", "Zn", "Zn", "Zn"],
  "fractional_positions": [[0.500, 0.661, 0.661], [0.500, 0.339, 0.339], [0.000, 0.333, 0.667], [0.000, 0.667, 0.333], [0.000, 0.000, 0.000], [0.500, 0.000, 0.339], [0.500, 0.339, 0.000], [0.500, 0.000, 0.661], [0.500, 0.661, 0.000]],
  "spacegroup": "P6/mmm (191)",
  "formation_energy_ev_per_fu": -3.20
}

---

(17)
{
  "formula": "LaErZn4",
  "functional": "PBE",
  "state": "optimized geometry",
  "lattice": [[5.546, 0.000, 0.000], [2.773, 4.803, 0.000], [2.773, 1.601, 4.528]],
  "species": ["Zn", "Zn", "Er", "La", "Zn", "Zn"],
  "fractional_positions": [[0.626, 0.626, 0.626], [0.626, 0.123, 0.626], [0.000, 0.000, 0.000], [0.250, 0.250, 0.250], [0.626, 0.626, 0.123], [0.123, 0.626, 0.626]],
  "spacegroup": "F-43m (216)",
  "polymorph_energy_mev_per_atom": 23,
  "formation_energy_ev_per_fu": -1.94
}

---

(18)
{
  "formula": "LaEr2Zn",
  "functional": "PBE",
  "state": "optimized geometry",
  "lattice": [[-3.290, 0.337, 1.397], [-1.046, -2.158, 2.671], [2.186, 6.191, 8.268]],
  "species": ["Zn", "Er", "Er", "La"],
  "fractional_positions": [[0.000, 0.000, 0.000], [0.737, 0.737, 0.789], [0.263, 0.263, 0.211], [0.500, 0.500, 0.500]],
  "spacegroup": "R-3m (166)",
  "polymorph_energy_mev_per_atom": 85,
  "formation_energy_ev_per_fu": -0.29
}

---

(19)
{
  "formula": "La2Er3Zn3",
  "functional": "PBE",
  "state": "optimized geometry",
  "lattice": [[-0.760, 3.524, 0.560], [-4.965, -1.017, -0.341], [2.483, -3.073, 10.829]],
  "species": ["Zn", "Zn", "Er", "Er", "Er", "La", "Zn", "La"],
  "fractional_positions": [[0.108, 0.108, 0.215], [0.892, 0.892, 0.785], [0.612, 0.612, 0.224], [0.388, 0.388, 0.776], [0.500, 0.000, 0.000], [0.274, 0.774, 0.548], [0.000, 0.500, 0.000], [0.726, 0.226, 0.452]],
  "spacegroup": "Immm (71)",
  "formation_energy_ev_per_fu": -1.73
}

---

(20)
{
  "formula": "LaErZn4",
  "functional": "PBE",
  "state": "optimized geometry",
  "lattice": [[4.178, 0.000, 1.681], [1.778, 5.301, 1.614], [0.096, -0.531, 5.795]],
  "species": ["Zn", "Zn", "La", "Zn", "Zn", "Er"],
  "fractional_positions": [[0.334, 0.903, 0.429], [0.666, 0.571, 0.097], [0.000, 0.000, 0.000], [0.334, 0.429, 0.903], [0.666, 0.097, 0.571], [0.000, 0.500, 0.500]],
  "spacegroup": "Immm (71)",
  "polymorph_energy_mev_per_atom": 0,
  "formation_energy_ev_per_fu": -2.07
}